1.
A plane-wave DFT calculation with GGA-PBE was carried out for a geometry-optimized PrSiAs3Pd6 structure.

Results
SG ... P-6m2
E_tot ... -5.680 eV per atom
Volume ... 16.998 A^3/atom
M_tot ... 0.013 Bohr magnetons per cell

a = 7.331 Å, b = 7.331 Å, c = 4.017 Å
α = 90.00°, β = 90.00°, γ = 120.00°
Sites, in units of the cell vectors:
Pd1 0.204 0.407 0.500
Pd2 0.531 0.469 0.000
Pd3 0.531 0.062 0.000
Pd4 0.938 0.469 0.000
Pd5 0.593 0.796 0.500
Pd6 0.204 0.796 0.500
As1 0.378 0.189 0.500
As2 0.811 0.189 0.500
As3 0.811 0.622 0.500
Si1 0.333 0.667 0.000
Pr1 0.000 0.000 0.000



2.
A plane-wave DFT calculation with GGA-PBE was carried out for a geometry-optimized Sn4Hg3 structure.

Results
SG ... R-3m
E_tot ... -2.319 eV per atom
Volume ... 27.560 A^3/atom

a = 12.681 Å, b = 12.681 Å, c = 12.681 Å
α = 19.21°, β = 19.21°, γ = 19.21°
Sites, in units of the cell vectors:
Sn1 0.289 0.289 0.289
Sn2 0.716 0.716 0.716
Sn3 0.144 0.144 0.144
Sn4 0.860 0.860 0.860
Hg1 0.430 0.430 0.430
Hg2 0.002 0.002 0.002
Hg3 0.574 0.574 0.574



3.
A plane-wave DFT calculation with GGA-PBE was carried out for a geometry-optimized CsSmDy structure.

Results
SG ... F-43m
E_tot ... -2.128 eV per atom
Volume ... 50.834 A^3/atom
M_tot ... 3.669 Bohr magnetons per cell

a = 5.997 Å, b = 5.997 Å, c = 5.997 Å
α = 60.00°, β = 60.00°, γ = 60.00°
Sites, in units of the cell vectors:
Dy1 0.750 0.750 0.750
Sm1 0.000 0.000 0.000
Cs1 0.250 0.250 0.250



4.
A plane-wave DFT calculation with GGA-PBE was carried out for a geometry-optimized RbHfAgTeSe2 structure.

Results
SG ... P2_1/m
Polymorph energy (0 for the lowest one) ... 22 meV per atom
Volume ... 28.580 A^3/atom
M_tot ... 0.004 Bohr magnetons per cell

a = 8.771 Å, b = 4.069 Å, c = 10.358 Å
α = 90.00°, β = 111.90°, γ = 90.00°
Sites, in units of the cell vectors:
Te1 0.599 0.250 0.378
Te2 0.401 0.750 0.622
Ag1 0.576 0.250 0.106
Ag2 0.424 0.750 0.894
Se1 0.237 0.250 0.929
Se2 0.964 0.750 0.628
Se3 0.036 0.250 0.372
Se4 0.763 0.750 0.071
Rb1 0.770 0.250 0.796
Rb2 0.230 0.750 0.204
Hf1 0.819 0.750 0.339
Hf2 0.181 0.250 0.661



5.
A plane-wave DFT calculation with GGA-PBE was carried out for a geometry-optimized Zr2ReSn structure.

Results
SG ... F-43m
E_tot ... -8.414 eV per atom
Volume ... 19.445 A^3/atom
M_tot ... 0.037 Bohr magnetons per cell

a = 4.791 Å, b = 4.791 Å, c = 4.791 Å
α = 60.00°, β = 60.00°, γ = 60.00°
Sites, in units of the cell vectors:
Zr1 0.750 0.750 0.750
Zr2 0.000 0.000 0.000
Re1 0.250 0.250 0.250
Sn1 0.500 0.500 0.500



6.
A plane-wave DFT calculation with GGA-PBE was carried out for a geometry-optimized CsYBAu structure.

Results
SG ... F-43m
Polymorph energy (0 for the lowest one) ... 69 meV per atom
Volume ... 22.354 A^3/atom
M_tot ... 0.001 Bohr magnetons per cell

a = 5.019 Å, b = 5.019 Å, c = 5.019 Å
α = 60.00°, β = 60.00°, γ = 60.00°
Sites, in units of the cell vectors:
Au1 0.750 0.750 0.750
Cs1 0.250 0.250 0.250
Y1 0.000 0.000 0.000
B1 0.500 0.500 0.500



7.
A plane-wave DFT calculation with GGA-PBE was carried out for a geometry-optimized Ga5OsPd structure.

Results
SG ... P4/mmm
E_tot ... -4.559 eV per atom
Volume ... 16.316 A^3/atom
M_tot ... 0.002 Bohr magnetons per cell

a = 4.400 Å, b = 4.400 Å, c = 5.899 Å
α = 90.00°, β = 90.00°, γ = 90.00°
Sites, in units of the cell vectors:
Ga1 0.500 0.500 0.000
Ga2 0.000 0.500 0.264
Ga3 0.000 0.500 0.736
Ga4 0.500 0.000 0.736
Ga5 0.500 0.000 0.264
Pd1 0.000 0.000 0.500
Os1 0.000 0.000 0.000



8.
A plane-wave DFT calculation with GGA-PBE was carried out for a geometry-optimized Ba4Sm4Zn3PtO15 structure.

Results
SG ... P6_3mc
E_tot ... -6.538 eV per atom
Volume ... 14.724 A^3/atom
M_tot ... 0.009 Bohr magnetons per cell

a = 11.682 Å, b = 11.682 Å, c = 6.728 Å
α = 90.00°, β = 90.00°, γ = 120.00°
Sites, in units of the cell vectors:
Ba1 0.828 0.172 0.157
Ba2 0.172 0.344 0.657
Ba3 0.667 0.333 0.839
Ba4 0.172 0.828 0.657
Ba5 0.828 0.656 0.157
Ba6 0.656 0.828 0.657
Ba7 0.333 0.667 0.339
Ba8 0.344 0.172 0.157
O1 0.056 0.662 0.303
O2 0.056 0.394 0.303
O3 0.917 0.083 0.559
O4 0.917 0.834 0.559
O5 0.418 0.836 0.656
O6 0.164 0.582 0.656
O7 0.834 0.917 0.059
O8 0.083 0.917 0.059
O9 0.662 0.056 0.803
O10 0.394 0.338 0.803
O11 0.251 0.749 0.991
O12 0.749 0.498 0.491
O13 0.582 0.418 0.156
O14 0.083 0.166 0.059
O15 0.662 0.606 0.803
O16 0.338 0.944 0.303
O17 0.836 0.418 0.156
O18 0.749 0.251 0.491
O19 0.606 0.944 0.303
O20 0.944 0.338 0.803
O21 0.338 0.394 0.303
O22 0.944 0.606 0.803
O23 0.502 0.251 0.491
O24 0.606 0.662 0.303
O25 0.418 0.582 0.656
O26 0.251 0.502 0.991
O27 0.498 0.749 0.991
O28 0.582 0.164 0.156
O29 0.394 0.056 0.803
O30 0.166 0.083 0.559
Zn1 0.829 0.659 0.674
Zn2 0.829 0.171 0.674
Zn3 0.659 0.829 0.174
Zn4 0.171 0.341 0.174
Zn5 0.341 0.171 0.674
Zn6 0.171 0.829 0.174
Sm1 0.477 0.523 0.002
Sm2 0.954 0.477 0.502
Sm3 0.477 0.954 0.002
Sm4 0.046 0.523 0.002
Sm5 0.523 0.477 0.502
Sm6 0.000 0.000 0.328
Sm7 0.523 0.046 0.502
Sm8 0.000 0.000 0.828
Pt1 0.333 0.667 0.816
Pt2 0.667 0.333 0.316



9.
A plane-wave DFT calculation with GGA-PBE was carried out for a geometry-optimized TmLuIn5 structure.

Results
SG ... P4/mmm
E_tot ... -3.496 eV per atom
Volume ... 26.114 A^3/atom
M_tot ... 0.005 Bohr magnetons per cell

a = 4.696 Å, b = 4.696 Å, c = 8.291 Å
α = 90.00°, β = 90.00°, γ = 90.00°
Sites, in units of the cell vectors:
In1 0.000 0.500 0.733
In2 0.500 0.000 0.733
In3 0.500 0.500 0.000
In4 0.000 0.500 0.267
In5 0.500 0.000 0.267
Lu1 0.000 0.000 0.500
Tm1 0.000 0.000 0.000



10.
A plane-wave DFT calculation with GGA-PBE was carried out for a geometry-optimized TmBeGa structure.

Results
SG ... F-43m
Polymorph energy (0 for the lowest one) ... 544 meV per atom
Volume ... 22.011 A^3/atom
M_tot ... 0.000 Bohr magnetons per cell

a = 4.537 Å, b = 4.537 Å, c = 4.537 Å
α = 60.00°, β = 60.00°, γ = 60.00°
Sites, in units of the cell vectors:
Tm1 0.000 0.000 0.000
Be1 0.250 0.250 0.250
Ga1 0.750 0.750 0.750



11.
A plane-wave DFT calculation with GGA-PBE was carried out for a geometry-optimized Li2TeIr structure.

Results
SG ... F-43m
E_tot ... -4.318 eV per atom
Volume ... 15.308 A^3/atom
M_tot ... 0.000 Bohr magnetons per cell

a = 4.424 Å, b = 4.424 Å, c = 4.424 Å
α = 60.00°, β = 60.00°, γ = 60.00°
Sites, in units of the cell vectors:
Ir1 0.250 0.250 0.250
Te1 0.500 0.500 0.500
Li1 0.750 0.750 0.750
Li2 0.000 0.000 0.000



12.
A plane-wave DFT calculation with GGA-PBE was carried out for a geometry-optimized PaSi2Mo2 structure.

Results
SG ... I4/mmm
E_tot ... -8.797 eV per atom
Volume ... 17.550 A^3/atom
M_tot ... 0.048 Bohr magnetons per cell

a = 6.256 Å, b = 6.256 Å, c = 6.256 Å
α = 143.09°, β = 143.09°, γ = 53.19°
Sites, in units of the cell vectors:
Si1 0.395 0.395 0.000
Si2 0.605 0.605 0.000
Mo1 0.250 0.750 0.500
Mo2 0.750 0.250 0.500
Pa1 0.000 0.000 0.000